Here is Tb2TlH after structural relaxation from the Alexandria database. Energies are from PBE.

Cell and atoms, written as extended XYZ:
```
16
Lattice="5.409 0.000 0.000 0.000 12.366 0.000 0.000 0.000 5.347" Properties=species:S:1:pos:R:3 pbc="T T T"
Tb 1.345 1.177 0.000
Tb 1.345 11.189 2.674
Tb 1.360 5.006 0.000
Tb 1.360 7.360 2.674
Tb 4.049 5.006 2.674
Tb 4.049 7.360 0.000
Tb 4.064 1.177 2.674
Tb 4.064 11.189 0.000
Tl 1.352 3.092 2.674
Tl 1.352 9.275 0.000
Tl 4.057 3.092 0.000
Tl 4.057 9.275 2.674
H 0.000 6.183 1.337
H 0.000 6.183 4.010
H 2.704 0.000 1.337
H 2.704 0.000 4.010
```

Summary:
Energy relative to the lowest polymorph listed for this composition (meV per atom): 0


Here is BePdS after structural relaxation from the Alexandria database. Energies are from PBE.

Cell and atoms, written as extended XYZ:
```
12
Lattice="9.563 0.000 0.000 0.000 3.327 0.000 0.000 0.000 5.763" Properties=species:S:1:pos:R:3 pbc="T T T"
Be 1.747 0.000 0.000
Be 1.747 1.664 2.881
Be 7.816 0.000 0.000
Be 7.816 1.664 2.881
Pd 0.000 0.000 3.954
Pd 0.000 1.664 1.072
Pd 4.781 0.000 4.045
Pd 4.781 1.664 1.164
S 2.441 0.000 3.827
S 2.441 1.664 0.946
S 7.121 0.000 3.827
S 7.121 1.664 0.946
```

Summary:
Formation energy without anion corrections (eV/atom): -0.44


Here is TeS7Cl2 after structural relaxation from the Alexandria database. Energies are from PBE.

Cell and atoms, written as extended XYZ:
```
40
Lattice="10.060 0.000 0.000 0.000 9.414 0.000 0.000 0.000 13.869" Properties=species:S:1:pos:R:3 pbc="T T T"
Te 2.005 2.354 1.446
Te 3.025 7.061 8.381
Te 7.035 2.354 5.489
Te 8.055 7.061 12.423
S 1.410 5.389 4.146
S 1.410 8.732 4.146
S 1.757 5.100 7.438
S 1.757 9.021 7.438
S 2.345 7.061 3.396
S 2.491 4.884 12.615
S 2.491 9.237 12.615
S 2.540 0.177 5.680
S 2.540 4.530 5.680
S 2.685 2.354 10.331
S 3.273 0.393 0.503
S 3.273 4.314 0.503
S 3.621 0.682 11.080
S 3.621 4.025 11.080
S 6.440 5.389 2.789
S 6.440 8.732 2.789
S 6.787 5.100 13.366
S 6.787 9.021 13.366
S 7.375 7.061 3.539
S 7.521 4.884 8.189
S 7.521 9.237 8.189
S 7.570 0.177 1.255
S 7.570 4.530 1.255
S 7.715 2.354 10.474
S 8.303 0.393 6.431
S 8.303 4.314 6.431
S 8.651 0.682 9.724
S 8.651 4.025 9.724
Cl 0.379 2.354 13.493
Cl 1.018 7.061 9.931
Cl 4.013 2.354 2.996
Cl 4.651 7.061 6.558
Cl 5.409 2.354 7.312
Cl 6.048 7.061 10.873
Cl 9.043 2.354 3.938
Cl 9.681 7.061 0.377
```

Summary:
Formation energy without anion corrections (eV/atom): -0.15


Here is Cd2AgTeRu after structural relaxation from the Alexandria database. Energies are from PBE.

Cell and atoms, written as extended XYZ:
```
5
Lattice="5.133 0.000 0.000 0.000 5.133 0.000 0.000 0.000 5.078" Properties=species:S:1:pos:R:3 pbc="T T T"
Cd 0.000 2.567 0.000
Cd 2.567 0.000 0.000
Ag 0.000 0.000 0.000
Te 2.567 2.567 2.539
Ru 0.000 0.000 2.539
```

Summary:
Formation energy without anion corrections (eV/atom): 0.90


Here is Cs3Sn2I9 after structural relaxation from the Alexandria database. Energies are from PBE.

Cell and atoms, written as extended XYZ:
```
14
Lattice="8.573 0.000 0.000 -4.287 7.425 0.000 0.000 0.000 10.532" Properties=species:S:1:pos:R:3 pbc="T T T"
Cs 0.000 0.000 0.000
Cs 0.000 4.950 3.592
Cs 4.287 2.475 6.939
Sn 0.000 4.950 8.626
Sn 4.287 2.475 1.906
I -2.143 3.712 0.000
I 0.000 2.511 7.040
I -2.112 6.169 7.040
I 2.174 1.255 3.492
I 4.287 0.000 0.000
I 2.143 3.712 0.000
I 2.112 6.169 7.040
I 6.399 1.255 3.492
I 4.287 4.914 3.492
```

Summary:
Formation energy without anion corrections (eV/atom): -0.92


Here is Ru4Pt3Rh4 after structural relaxation from the Alexandria database. Energies are from PBE.

Cell and atoms, written as extended XYZ:
```
11
Lattice="-1.944 3.849 5.923 1.944 -3.849 5.923 1.944 3.849 -5.923" Properties=species:S:1:pos:R:3 pbc="T T T"
Ru 1.944 -2.397 3.784
Ru 0.000 1.452 2.140
Ru 1.944 2.397 3.784
Ru 0.000 6.246 2.140
Pt 1.944 0.000 0.000
Pt 0.000 0.000 4.544
Pt 0.000 0.000 7.302
Rh 1.944 0.000 2.750
Rh 0.000 2.478 0.000
Rh 0.000 5.220 0.000
Rh 0.000 3.849 3.174
```

Summary:
DFT formation energy (eV/atom): 0.433


Here is Cs2MnAlS4 after structural relaxation from the Alexandria database. Energies are from PBE.

Cell and atoms, written as extended XYZ:
```
16
Lattice="0.000 6.754 12.866 2.962 0.000 12.866 2.962 6.754 0.000" Properties=species:S:1:pos:R:3 pbc="T T T"
Cs 2.222 5.065 1.343
Cs 3.703 8.442 7.777
Cs 2.222 5.065 17.956
Cs 3.703 8.442 24.389
Mn 2.222 5.065 9.650
Mn 3.703 8.442 16.083
Al 0.741 1.688 3.217
Al 5.184 11.819 22.516
S 2.193 2.801 4.544
S 3.731 6.178 10.977
S 2.250 7.330 4.544
S 2.250 2.801 14.756
S 3.674 10.707 10.977
S 3.674 6.178 21.189
S 2.193 7.330 14.756
S 3.731 10.707 21.189
```

Summary:
Formation energy without anion corrections (eV/atom): -1.08


Here is CsTbZnS3 after structural relaxation from the Alexandria database. Energies are from PBE.

Cell and atoms, written as extended XYZ:
```
12
Lattice="9.418 0.000 0.000 0.000 4.052 0.000 -3.603 0.000 9.243" Properties=species:S:1:pos:R:3 pbc="T T T"
Cs 1.155 1.013 2.229
Cs 4.660 3.039 7.014
Tb 0.034 3.039 7.952
Tb 5.781 1.013 1.290
Zn -1.420 1.013 5.647
Zn 7.235 3.039 3.595
S -1.879 1.013 7.904
S -0.226 3.039 5.028
S 3.926 3.039 1.399
S 1.889 1.013 7.844
S 6.041 1.013 4.215
S 7.694 3.039 1.339
```

Summary:
Formation energy without anion corrections (eV/atom): -1.50


Here is MnNiN2 after structural relaxation from the Alexandria database. Energies are from PBE.

Cell and atoms, written as extended XYZ:
```
16
Lattice="4.307 0.000 0.000 0.000 4.307 0.000 0.000 0.000 8.532" Properties=species:S:1:pos:R:3 pbc="T T T"
Mn 0.000 0.000 0.000
Mn 0.000 2.153 2.133
Mn 2.153 0.000 6.399
Mn 2.153 2.153 4.266
Ni 0.000 0.000 4.266
Ni 0.000 2.153 6.399
Ni 2.153 0.000 2.133
Ni 2.153 2.153 0.000
N 0.976 1.077 1.066
N 1.077 3.130 3.199
N 1.077 3.331 7.465
N 1.177 1.077 5.332
N 3.130 3.230 5.332
N 3.230 0.976 7.465
N 3.230 1.177 3.199
N 3.331 3.230 1.066
```

Summary:
Formation energy without anion corrections (eV/atom): -0.08
Energy relative to the lowest polymorph listed for this composition (meV per atom): 0


Here is SrGe12Pt6 after structural relaxation from the Alexandria database. Energies are from PBE.

Cell and atoms, written as extended XYZ:
```
19
Lattice="5.893 3.403 3.302 -5.893 3.403 3.302 0.000 -6.805 3.302" Properties=species:S:1:pos:R:3 pbc="T T T"
Sr 0.000 0.000 0.000
Ge -2.163 -3.747 4.953
Ge -4.326 0.000 4.953
Ge -1.868 -1.079 3.629
Ge 1.868 -1.079 3.629
Ge 0.000 2.157 3.629
Ge 2.163 -3.747 4.953
Ge -2.163 3.747 4.953
Ge 0.000 -2.157 6.278
Ge -1.868 1.079 6.278
Ge 1.868 1.079 6.278
Ge 4.326 0.000 4.953
Ge 2.163 3.747 4.953
Pt 0.000 -2.762 3.679
Pt -2.392 1.381 3.679
Pt -2.392 -1.381 6.228
Pt 2.392 1.381 3.679
Pt 2.392 -1.381 6.228
Pt 0.000 2.762 6.228
```

Summary:
DFT formation energy (eV/atom): -0.230


Here is Mn2FeOs after structural relaxation from the Alexandria database. Energies are from PBE.

Cell and atoms, written as extended XYZ:
```
8
Lattice="3.643 0.000 0.000 0.000 3.643 0.000 0.000 0.000 7.246" Properties=species:S:1:pos:R:3 pbc="T T T"
Mn 0.000 1.822 1.811
Mn 0.000 1.822 5.434
Mn 1.822 0.000 1.811
Mn 1.822 0.000 5.434
Fe 0.000 0.000 0.000
Fe 1.822 1.822 3.623
Os 0.000 0.000 3.623
Os 1.822 1.822 0.000
```

Summary:
DFT formation energy (eV/atom): 0.018


Here is Fe4C after structural relaxation from the Alexandria database. Energies are from PBE.

Cell and atoms, written as extended XYZ:
```
5
Lattice="3.843 0.000 0.000 0.000 3.843 0.000 0.000 0.000 3.843" Properties=species:S:1:pos:R:3 pbc="T T T"
Fe 0.888 0.888 2.955
Fe 0.888 2.955 0.888
Fe 2.955 0.888 0.888
Fe 2.955 2.955 2.955
C 1.921 1.921 1.921
```

Summary:
DFT formation energy (eV/atom): 0.518
Energy relative to the lowest polymorph listed for this composition (meV per atom): 401


Repeat the first record exactly.
Here is Tb2TlH after structural relaxation from the Alexandria database. Energies are from PBE.

Cell and atoms, written as extended XYZ:
```
16
Lattice="5.409 0.000 0.000 0.000 12.366 0.000 0.000 0.000 5.347" Properties=species:S:1:pos:R:3 pbc="T T T"
Tb 1.345 1.177 0.000
Tb 1.345 11.189 2.674
Tb 1.360 5.006 0.000
Tb 1.360 7.360 2.674
Tb 4.049 5.006 2.674
Tb 4.049 7.360 0.000
Tb 4.064 1.177 2.674
Tb 4.064 11.189 0.000
Tl 1.352 3.092 2.674
Tl 1.352 9.275 0.000
Tl 4.057 3.092 0.000
Tl 4.057 9.275 2.674
H 0.000 6.183 1.337
H 0.000 6.183 4.010
H 2.704 0.000 1.337
H 2.704 0.000 4.010
```

Summary:
Energy relative to the lowest polymorph listed for this composition (meV per atom): 0